(1)
DFT (PBE) results for crystalline TbSmZnTe3 at its relaxed geometry.

a b c (Å): 7.914 7.914 10.571
angles (deg): 90.00 90.00 149.35
Atoms (fractional coordinates):
Zn1 0.477 0.523 0.250
Te1 0.115 0.885 0.250
Te2 0.350 0.650 0.450
Zn2 0.523 0.477 0.750
Te3 0.650 0.350 0.550
Te4 0.350 0.650 0.050
Tb1 0.000 0.000 0.000
Te5 0.650 0.350 0.950
Sm1 0.226 0.774 0.750
Te6 0.885 0.115 0.750
Sm2 0.774 0.226 0.250
Tb2 0.000 0.000 0.500

Its energy relative to the lowest polymorph listed for this composition is 0 meV per atom. The space group is No. 63. As for the electronic total energy: -0.318 Ry/atom.

---

(2)
DFT (PBE) results for crystalline TbSmTl at its relaxed geometry.

a b c (Å): 5.221 5.221 5.221
angles (deg): 60.00 60.00 60.00
Atoms (fractional coordinates):
Sm1 0.250 0.250 0.250
Tl1 0.000 0.000 0.000
Tb1 0.750 0.750 0.750

Its energy relative to the lowest polymorph listed for this composition is 0 meV per atom. The space group is No. 216. As for the electronic total energy: -0.290 Ry/atom.

---

(3)
DFT (PBE) results for crystalline TbSmTm at its relaxed geometry.

a b c (Å): 3.575 6.189 8.810
angles (deg): 96.74 101.70 90.01
Atoms (fractional coordinates):
Tm1 0.417 0.138 0.836
Tb1 0.918 0.640 0.836
Tb2 0.082 0.360 0.164
Sm1 0.250 0.751 0.498
Tm2 0.583 0.862 0.164
Sm2 0.750 0.249 0.502

Its energy relative to the lowest polymorph listed for this composition is 0 meV per atom. The space group is No. 2. As for the electronic total energy: -0.339 Ry/atom. The value obtained for the formation energy from the elements is -0.0047 eV per atom.

---

(4)
DFT (PBE) results for crystalline TbSmTm at its relaxed geometry.

a b c (Å): 5.418 5.418 5.418
angles (deg): 60.00 60.00 60.00
Atoms (fractional coordinates):
Sm1 0.250 0.250 0.250
Tm1 0.000 0.000 0.000
Tb1 0.750 0.750 0.750

Its energy relative to the lowest polymorph listed for this composition is 711 meV per atom. The space group is No. 216. As for the electronic total energy: -0.287 Ry/atom. The value obtained for the formation energy from the elements is 0.7062 eV per atom.

---

(5)
DFT (PBE) results for crystalline TbSmU at its relaxed geometry.

a b c (Å): 5.265 5.265 5.265
angles (deg): 60.00 60.00 60.00
Atoms (fractional coordinates):
Sm1 0.250 0.250 0.250
Tb1 0.750 0.750 0.750
U1 0.000 0.000 0.000

Its energy relative to the lowest polymorph listed for this composition is 0 meV per atom. The space group is No. 216. As for the electronic total energy: -0.412 Ry/atom. The value obtained for the formation energy from the elements is 1.2743 eV per atom.

---

(6)
DFT (PBE) results for crystalline Tb2Sm3U at its relaxed geometry.

a b c (Å): 4.832 4.832 8.477
angles (deg): 90.00 90.00 90.00
Atoms (fractional coordinates):
U1 0.000 0.000 0.000
Tb1 0.500 0.000 0.297
Sm1 0.500 0.500 0.000
Sm2 0.500 0.000 0.711
Sm3 0.000 0.500 0.289
Tb2 0.000 0.500 0.703

The space group is No. 115. As for the electronic total energy: -0.393 Ry/atom. The value obtained for the formation energy from the elements is 0.4301 eV per atom.

---

(7)
DFT (PBE) results for crystalline Tb3SmY2 at its relaxed geometry.

a b c (Å): 9.581 9.581 6.236
angles (deg): 102.54 102.54 44.19
Atoms (fractional coordinates):
Tb1 0.042 0.292 0.028
Tb2 0.708 0.958 0.472
Y1 0.793 0.542 0.529
Tb3 0.876 0.124 0.250
Y2 0.207 0.458 0.471
Y3 0.458 0.207 0.971
Tb4 0.124 0.876 0.750
Sm1 0.626 0.374 0.750
Tb5 0.292 0.042 0.528
Tb6 0.958 0.708 0.972
Y4 0.542 0.793 0.029
Sm2 0.374 0.626 0.250

The space group is No. 15. As for the electronic total energy: -0.386 Ry/atom. The value obtained for the formation energy from the elements is -0.0031 eV per atom.

---

(8)
DFT (PBE) results for crystalline TbSmY at its relaxed geometry.

a b c (Å): 5.681 5.681 10.447
angles (deg): 90.00 90.00 120.00
Atoms (fractional coordinates):
Y1 0.333 0.667 0.832
Sm1 0.000 0.000 0.667
Y2 0.667 0.333 0.500
Sm2 0.000 0.000 0.333
Tb1 0.667 0.333 0.165
Tb2 0.667 0.333 0.835
Sm3 0.000 0.000 0.000
Tb3 0.333 0.667 0.500
Y3 0.333 0.667 0.168

Its energy relative to the lowest polymorph listed for this composition is 0 meV per atom. The space group is No. 187. As for the electronic total energy: -0.382 Ry/atom. The value obtained for the formation energy from the elements is 0.0656 eV per atom.

---

(9)
DFT (PBE) results for crystalline TbSmY at its relaxed geometry.

a b c (Å): 5.479 5.479 5.479
angles (deg): 60.00 60.00 60.00
Atoms (fractional coordinates):
Y1 0.500 0.500 0.500
Sm1 0.750 0.750 0.750
Tb1 0.250 0.250 0.250

Its energy relative to the lowest polymorph listed for this composition is 679 meV per atom. The space group is No. 216. As for the electronic total energy: -0.332 Ry/atom. The value obtained for the formation energy from the elements is 0.7450 eV per atom.

---

(10)
DFT (PBE) results for crystalline Tb4SmZn5 at its relaxed geometry.

a b c (Å): 3.586 3.586 17.924
angles (deg): 90.00 90.00 90.00
Atoms (fractional coordinates):
Tb1 0.000 0.000 0.798
Tb2 0.000 0.000 0.401
Zn1 0.500 0.500 0.301
Zn2 0.500 0.500 0.699
Zn3 0.500 0.500 0.104
Zn4 0.500 0.500 0.500
Sm1 0.000 0.000 0.000
Tb3 0.000 0.000 0.202
Zn5 0.500 0.500 0.896
Tb4 0.000 0.000 0.599

The space group is No. 123. As for the electronic total energy: -0.242 Ry/atom. The value obtained for the formation energy from the elements is -0.3388 eV per atom.

---

(11)
DFT (PBE) results for crystalline TbSmZn4 at its relaxed geometry.

a b c (Å): 5.682 5.682 5.682
angles (deg): 133.31 101.53 96.56
Atoms (fractional coordinates):
Zn1 0.539 0.833 0.706
Zn2 0.128 0.833 0.294
Zn3 0.961 0.165 0.796
Sm1 0.532 0.532 0.000
Tb1 0.972 0.472 0.500
Zn4 0.369 0.165 0.204

The space group is No. 44. As for the electronic total energy: -0.205 Ry/atom. The value obtained for the formation energy from the elements is -0.3832 eV per atom.

---

(12)
DFT (PBE) results for crystalline SmTc at its relaxed geometry.

a b c (Å): 4.096 4.096 4.096
angles (deg): 60.00 60.00 60.00
Atoms (fractional coordinates):
Tc1 0.500 0.500 0.500
Sm1 0.000 0.000 0.000

Its energy relative to the lowest polymorph listed for this composition is 789 meV per atom. The space group is No. 225. As for the electronic total energy: -0.483 Ry/atom. The value obtained for the formation energy from the elements is 0.9642 eV per atom.

---

(13)
DFT (PBE) results for crystalline SmTc at its relaxed geometry.

a b c (Å): 4.941 4.941 4.739
angles (deg): 90.00 90.00 120.00
Atoms (fractional coordinates):
Tc1 0.000 0.000 0.000
Sm1 0.333 0.667 0.750
Tc2 0.000 0.000 0.500
Sm2 0.667 0.333 0.250

Its energy relative to the lowest polymorph listed for this composition is 0 meV per atom. The space group is No. 194. As for the electronic total energy: -0.541 Ry/atom. The value obtained for the formation energy from the elements is 0.1750 eV per atom.

---

(14)
DFT (PBE) results for crystalline SmTc at its relaxed geometry.

a b c (Å): 3.431 3.431 4.325
angles (deg): 90.00 90.00 120.00
Atoms (fractional coordinates):
Tc1 0.333 0.667 0.250
Sm1 0.667 0.333 0.750

Its energy relative to the lowest polymorph listed for this composition is 449 meV per atom. The space group is No. 187. As for the electronic total energy: -0.508 Ry/atom. The value obtained for the formation energy from the elements is 0.6243 eV per atom.

---

(15)
DFT (PBE) results for crystalline SmTc2 at its relaxed geometry.

a b c (Å): 5.453 5.453 5.453
angles (deg): 60.00 60.00 60.00
Atoms (fractional coordinates):
Tc1 0.125 0.625 0.625
Tc2 0.625 0.125 0.625
Tc3 0.625 0.625 0.625
Tc4 0.625 0.625 0.125
Sm1 0.250 0.250 0.250
Sm2 0.000 0.000 0.000

Its energy relative to the lowest polymorph listed for this composition is 0 meV per atom. The space group is No. 227. As for the electronic total energy: -0.625 Ry/atom. The value obtained for the formation energy from the elements is -0.0221 eV per atom.

---

(16)
DFT (PBE) results for crystalline SmTc2 at its relaxed geometry.

a b c (Å): 8.974 8.974 8.974
angles (deg): 60.00 60.00 60.00
Atoms (fractional coordinates):
Tc1 0.375 0.375 0.375
Tc2 0.875 0.375 0.375
Tc3 0.375 0.375 0.875
Sm1 0.250 0.250 0.250
Sm2 0.500 0.500 0.500
Tc4 0.375 0.875 0.375

Its energy relative to the lowest polymorph listed for this composition is 3497 meV per atom. The space group is No. 227. As for the electronic total energy: -0.368 Ry/atom. The value obtained for the formation energy from the elements is 3.4749 eV per atom.

---

(17)
DFT (PBE) results for crystalline SmTc at its relaxed geometry.

a b c (Å): 4.332 4.332 4.332
angles (deg): 60.00 60.00 60.00
Atoms (fractional coordinates):
Tc1 0.250 0.250 0.250
Sm1 0.000 0.000 0.000

Its energy relative to the lowest polymorph listed for this composition is 1689 meV per atom. The space group is No. 216. As for the electronic total energy: -0.417 Ry/atom. The value obtained for the formation energy from the elements is 1.8642 eV per atom.

---

(18)
DFT (PBE) results for crystalline SmTc at its relaxed geometry.

a b c (Å): 3.654 3.654 7.261
angles (deg): 90.00 90.00 120.00
Atoms (fractional coordinates):
Tc1 0.667 0.333 0.250
Sm1 0.000 0.000 0.000
Sm2 0.000 0.000 0.500
Tc2 0.333 0.667 0.750

Its energy relative to the lowest polymorph listed for this composition is 731 meV per atom. The space group is No. 194. As for the electronic total energy: -0.487 Ry/atom. The value obtained for the formation energy from the elements is 0.9056 eV per atom.

---

(19)
DFT (PBE) results for crystalline SmTcTe at its relaxed geometry.

a b c (Å): 4.936 4.936 4.936
angles (deg): 60.00 60.00 60.00
Atoms (fractional coordinates):
Te1 0.750 0.750 0.750
Tc1 0.250 0.250 0.250
Sm1 0.000 0.000 0.000

Its energy relative to the lowest polymorph listed for this composition is 512 meV per atom. The space group is No. 216. As for the electronic total energy: -0.400 Ry/atom.

---

(20)
DFT (PBE) results for crystalline SmTcTe at its relaxed geometry.

a b c (Å): 4.787 4.787 4.787
angles (deg): 60.00 60.00 60.00
Atoms (fractional coordinates):
Tc1 0.750 0.750 0.750
Sm1 0.250 0.250 0.250
Te1 0.000 0.000 0.000

Its energy relative to the lowest polymorph listed for this composition is 0 meV per atom. The space group is No. 216. As for the electronic total energy: -0.437 Ry/atom.